Here is an optimized crystal structure of Fe2IBrO from Alexandria via LeMat-Bulk. Energies are from PBE with a Hubbard U.

Results
E = -3.234 eV/atom
space-group type = P4/mmm (123)
magnetization = 6.46 μB/f.u.
density of states at the Fermi level = 0.8935 states/eV per atom

Cell lengths 5.006, 4.134, 5.006 Å; angles 90.00, 90.00, 90.00 degrees
Positions (direct):
1 I 0.500 0.500 0.500
2 Fe 0.000 0.000 0.500
3 Fe 0.500 0.000 0.000
4 O 0.000 0.500 0.000
5 Br 0.000 0.000 0.000